Entry 1:
First-principles (GGA-PBE) data for an optimized crystal structure of NdMg2AlHg4, as listed in Alexandria via LeMat-Bulk.

Cell and atoms, written as POSCAR:
```
NdMg2AlHg4
1.0
-2.523 1.943 -3.681
-0.247 -2.318 -4.273
-8.296 -4.449 0.120
Al Hg Nd Mg
1 4 1 2
direct
0.500 0.500 0.500
0.389 0.389 0.833
0.611 0.611 0.167
0.873 0.873 0.380
0.127 0.127 0.620
0.000 0.000 0.000
0.758 0.758 0.725
0.242 0.242 0.275
```

Total moment = 0.0 μB per formula unit
DFT total energy = -1.86 eV/atom
DOS(E_F) = 2.5 states/eV/f.u.
Mass density = 9.21 g cm⁻³

=====

Entry 2:
First-principles (GGA-PBE) data for an optimized crystal structure of NdMg2AlHg2, as listed in Alexandria via LeMat-Bulk.

Cell and atoms, written as POSCAR:
```
NdMg2AlHg2
1.0
-0.848 -0.421 -5.271
-2.498 -4.673 0.775
-3.343 5.325 2.833
Mg Al Nd Hg
2 1 1 2
direct
0.750 0.250 0.500
0.250 0.750 0.500
0.000 0.000 0.000
0.500 0.500 0.000
0.221 0.221 0.441
0.779 0.779 0.559
```

Total moment = 0.0 μB per formula unit
DFT total energy = -1.99 eV/atom
DOS(E_F) = 3.3 states/eV/f.u.
Mass density = 6.24 g cm⁻³

=====

Entry 3:
First-principles (GGA-PBE) data for an optimized crystal structure of MgAl2NiHg, as listed in Alexandria via LeMat-Bulk.

Cell and atoms, written as POSCAR:
```
MgAl2NiHg
1.0
-4.160 -2.474 -1.555
1.409 -3.726 2.157
-2.457 1.497 4.191
Al Mg Ni Hg
2 1 1 1
direct
0.500 0.000 0.000
0.000 0.000 0.500
0.000 0.000 0.000
0.000 0.500 0.000
0.500 0.500 0.500
```

Total moment = 0.0 μB per formula unit
DFT total energy = -2.16 eV/atom
DOS(E_F) = 2.9 states/eV/f.u.
Mass density = 4.79 g cm⁻³